{
  "formula": "CsV2RhO8",
  "functional": "PBE with a Hubbard U",
  "state": "relaxed",
  "volume_a3_per_fu": 219,
  "energy_ev_per_fu": -80.36,
  "cell": [[5.435, 0.000, 0.000], [-2.717, 4.707, 0.000], [0.000, 0.000, 8.578]],
  "species": ["Rh", "O", "O", "O", "O", "O", "O", "O", "O", "V", "V", "Cs"],
  "fractional_positions": [[0.000, 0.000, 0.500], [0.678, 0.752, 0.633], [0.248, 0.927, 0.633], [0.322, 0.248, 0.367], [0.073, 0.322, 0.633], [0.333, 0.667, 0.888], [0.752, 0.073, 0.367], [0.927, 0.678, 0.367], [0.667, 0.333, 0.112], [0.333, 0.667, 0.694], [0.667, 0.333, 0.306], [0.000, 0.000, 0.000]]
}